A relaxed TiCdMoO6 crystal. Source: Alexandria via LeMat-Bulk, functional PBE+U.

a b c (Å): 4.8448 4.8448 9.3403
angles (deg): 90.00 90.00 90.00
Closest atoms and distances in Å follow each position.
Space group P4_2nm (No. 102)
Inequivalent atoms, fractional coordinates:
1 Ti 0.0000 0.0000 0.0000  6 O 1.97-2.01
2 Cd 0.0000 0.0000 0.6686  6 O 2.23-2.37
3 Mo 0.0000 0.0000 0.3355  6 O 1.93-1.98
4 O 0.1752 0.1752 0.1673  1 Ti 1.97, 1 Mo 1.98
5 O 0.2157 0.2157 0.4703  1 Mo 1.94, 1 Ti 1.97
6 O 0.2192 0.2192 0.8565  1 Mo 1.93, 1 Ti 2.01

Values from the calculation:
Uncorrected energy, eV per atom: -6.967